No. 1
Compound: RbPrNd4Se8
Source: Alexandria
Functional: GGA-PBE
Structure: relaxed

Cell lengths 8.8931, 8.8931, 21.9011 Å; angles 90.00, 90.00, 120.00 degrees
Space group R3m (No. 160, hexagonal axes)
Asymmetric unit:
Rb (0.0000, 0.0000, 0.0000) x3
Pr (0.0000, 0.0000, 0.3695) x3
Nd (0.0000, 0.0000, 0.7486) x3
Nd (0.0111, 0.5056, 0.8753) x9
Se (0.0000, 0.0000, 0.1413) x3
Se (0.0000, 0.0000, 0.6165) x3
Se (0.0188, 0.5094, 0.1265) x9
Se (0.1887, 0.3775, 0.9508) x9

Values from the calculation:
Total magnetic moment ... 0.0000 μB/atom
Final energy ... -5.50 eV per atom
ΔE_f (raw) ... -1.73 eV per atom

***

No. 2
Compound: RbPr2Nd3Te6
Source: Alexandria
Functional: GGA-PBE
Structure: relaxed

Cell lengths 20.056, 4.524, 9.343 Å; angles 90.00, 103.85, 90.00 degrees
Space group C2/m (No. 12)
Asymmetric unit:
Rb (0.000, 0.000, 0.000) x2
Pr (0.171, 0.500, 0.346) x4
Nd (0.000, 0.000, 0.500) x2
Nd (0.162, 0.500, 0.821) x4
Te (0.003, 0.500, 0.268) x4
Te (0.164, 0.000, 0.585) x4
Te (0.175, 0.000, 0.085) x4

Values from the calculation:
Total magnetic moment ... 0.0000 μB/atom
Final energy ... -5.03 eV per atom
ΔE_f (raw) ... -1.39 eV per atom

***

No. 3
Compound: Rb4Pr3NdTe8
Source: Alexandria
Functional: GGA-PBE
Structure: relaxed

Cell lengths 9.3461, 9.3461, 25.7351 Å; angles 90.00, 90.00, 120.00 degrees
Space group R-3m (No. 166, hexagonal axes)
Asymmetric unit:
Rb (0.0000, 0.0000, 0.0000) x3
Rb (0.0000, 0.5000, 0.0000) x9
Pr (0.0000, 0.5000, 0.5000) x9
Nd (0.0000, 0.0000, 0.5000) x3
Te (0.0000, 0.0000, 0.2355) x6
Te (0.0015, 0.5008, 0.2353) x18

Values from the calculation:
Total magnetic moment ... 0.0000 μB/atom
Final energy ... -4.42 eV per atom
ΔE_f (raw) ... -1.41 eV per atom